## TaNiPdPt (GGA-PBE)

Data for an optimized crystal structure of TaNiPdPt.

a b c (Å): 3.8696 3.8696 7.8719
angles (deg): 90.00 90.00 90.00
Space group I-4m2 (No. 119)
Asymmetric unit:
Ta (0.0000, 0.0000, 0.0000) [2 per cell]
Ni (0.0000, 0.0000, 0.5000) [2 per cell]
Pd (0.0000, 0.5000, 0.2500) [2 per cell]
Pt (0.0000, 0.5000, 0.7500) [2 per cell]

Properties
Calculated volume, Å³ per cell: 118
Mass density, g cm⁻³: 15.25
DFT formation energy, kJ per mole of atoms: -52.62
Distance to the lowest polymorph of the same formula, eV/f.u.: 0.000



## CsVSnI6 (GGA-PBE)

Data for an optimized crystal structure of CsVSnI6.

a b c (Å): 7.7636 7.7636 8.5996
angles (deg): 90.00 90.00 120.00
Space group P312 (No. 149)
Asymmetric unit:
Cs (0.0000, 0.0000, 0.0000) [1 per cell]
V (0.6667, 0.3333, 0.5000) [1 per cell]
Sn (0.3333, 0.6667, 0.5000) [1 per cell]
I (0.3821, 0.0336, 0.3103) [6 per cell]

Properties
Calculated volume, Å³ per cell: 449
E, eV/cell: -29.7
Mass density, g cm⁻³: 3.94